DFT (PBE) results for a relaxed structure of Na3Th2CuTe6.

Unit cell a=7.6845 b=7.6845 c=7.9485 alpha=99.54 beta=99.54 gamma=119.56
Last column: nearest neighbours and their distance in Å.
Element x y z (fractional)
Na  0.1734  0.8266  0.5000  6 Te 3.26-3.32
Na  0.8266  0.1734  0.5000  6 Te 3.26-3.32
Na  0.5000  0.5000  0.5000  6 Te 3.23-3.29
Th  0.3341  0.6659  0.0000  6 Te 3.13-3.15
Th  0.6659  0.3341  0.0000  6 Te 3.13-3.15
Cu  0.0000  0.0000  0.0000  6 Te 2.97-3.10
Te  0.9239  0.6072  0.7735  1 Cu 2.97, 2 Th 3.13-3.15, 3 Na 3.23-3.32
Te  0.7516  0.7516  0.2371  1 Cu 3.10, 2 Th 3.13, 3 Na 3.27-3.29
Te  0.0761  0.3928  0.2265  1 Cu 2.97, 2 Th 3.13-3.15, 3 Na 3.23-3.32
Te  0.6072  0.9239  0.7735  1 Cu 2.97, 2 Th 3.13-3.15, 3 Na 3.23-3.32
Te  0.2484  0.2484  0.7629  1 Cu 3.10, 2 Th 3.13, 3 Na 3.27-3.29
Te  0.3928  0.0761  0.2265  1 Cu 2.97, 2 Th 3.13-3.15, 3 Na 3.23-3.32

Symmetry: C2/m, No. 12
Uncorrected formation energy (eV per atom): -0.92